Record 1
Density functional theory data (GGA-PBE) for a relaxed structure of PmMgSn.

Results
Total DFT energy (no corrections) ... -3.769 eV per atom
E above lowest polymorph ... 250 meV/atom
Volume ... 26.82 Å³/atom
Crystal system ... tetragonal
Formation energy from the elements ... -320 meV/atom

a b c (Å): 3.5801 3.5801 6.7678
angles (deg): 105.34 105.34 90.00
Last column: nearest neighbours and their distance in Å.
Sites, in units of the cell vectors:
Mg (0.6012, 0.6012, 0.2024)  4 Sn 3.07, 4 Pm 3.43
Pm (0.2859, 0.2859, 0.5719)  4 Sn 3.37, 4 Mg 3.43, 4 Pm 3.58
Sn (0.9628, 0.9628, 0.9257)  4 Mg 3.07, 4 Pm 3.37

=====

Record 2
Density functional theory data (GGA-PBE) for a relaxed structure of Pm2Mg2Sn3.

Results
Total DFT energy (no corrections) ... -3.855 eV per atom
E above lowest polymorph ... 177 meV/atom
Volume ... 28.28 Å³/atom
Crystal system ... trigonal
Formation energy from the elements ... -327 meV/atom

a b c (Å): 6.7851 6.7851 6.7851
angles (deg): 55.53 55.53 55.53
Last column: nearest neighbours and their distance in Å.
Sites, in units of the cell vectors:
Pm (0.5000, 0.5000, 0.5000)  6 Sn 3.16, 2 Mg 3.26
Pm (0.0000, 0.0000, 0.0000)  6 Sn 3.39, 6 Mg 3.67
Sn (0.5000, 0.0000, 0.0000)  2 Mg 3.06, 4 Pm 3.16-3.39, 4 Sn 3.16
Sn (0.0000, 0.0000, 0.5000)  2 Mg 3.06, 4 Sn 3.16, 4 Pm 3.16-3.39
Sn (0.0000, 0.5000, 0.0000)  2 Mg 3.06, 4 Sn 3.16, 4 Pm 3.16-3.39
Mg (0.3099, 0.3099, 0.3099)  3 Sn 3.06, 1 Pm 3.26
Mg (0.6901, 0.6901, 0.6901)  3 Sn 3.06, 1 Pm 3.26

=====

Record 3
Density functional theory data (GGA-PBE) for a relaxed structure of Pm8MgSn6.

Results
Total DFT energy (no corrections) ... -4.790 eV per atom
Volume ... 32.81 Å³/atom
Crystal system ... trigonal
Formation energy from the elements ... -549 meV/atom

a b c (Å): 9.4005 9.4005 8.4143
angles (deg): 56.04 56.04 60.00
Last column: nearest neighbours and their distance in Å.
Sites, in units of the cell vectors:
Pm (0.8020, 0.1036, 0.7087)  5 Sn 3.14-3.32, 1 Mg 3.32
Pm (0.3857, 0.8020, 0.7087)  5 Sn 3.14-3.32, 1 Mg 3.32
Pm (0.1036, 0.3857, 0.7087)  5 Sn 3.14-3.32, 1 Mg 3.32
Pm (0.3321, 0.3321, 0.0038)  6 Sn 3.28-3.35
Pm (0.8964, 0.6143, 0.2913)  5 Sn 3.14-3.32, 1 Mg 3.32
Pm (0.1980, 0.8964, 0.2913)  5 Sn 3.14-3.32, 1 Mg 3.32
Pm (0.6679, 0.6679, 0.9962)  6 Sn 3.28-3.35
Pm (0.6143, 0.1980, 0.2913)  5 Sn 3.14-3.32, 1 Mg 3.32
Sn (0.5643, 0.9319, 0.2154)  7 Pm 3.14-3.35
Sn (0.0681, 0.7115, 0.7846)  7 Pm 3.14-3.35
Sn (0.9319, 0.2885, 0.2154)  7 Pm 3.14-3.35
Sn (0.2885, 0.5643, 0.2154)  7 Pm 3.14-3.35
Sn (0.4357, 0.0681, 0.7846)  7 Pm 3.14-3.35
Sn (0.7115, 0.4357, 0.7846)  7 Pm 3.14-3.35
Mg (0.0000, 0.0000, 0.0000)  6 Pm 3.32, 6 Sn 3.67

=====

Record 4
Density functional theory data (GGA-PBE) for a relaxed structure of PmMgSn.

Results
Total DFT energy (no corrections) ... -3.956 eV per atom
E above lowest polymorph ... 63 meV/atom
Volume ... 26.18 Å³/atom
Crystal system ... hexagonal
Formation energy from the elements ... -507 meV/atom

a b c (Å): 3.6838 4.9614 4.9614
angles (deg): 120.00 90.00 90.00
Last column: nearest neighbours and their distance in Å.
Sites, in units of the cell vectors:
Pm (0.6665, 0.3333, 0.6667)  6 Sn 3.40-3.41, 6 Mg 3.40-3.41, 2 Pm 3.68
Mg (0.1662, 0.6667, 0.3333)  3 Sn 2.86
Sn (0.1672, 0.0000, 0.0000)  3 Mg 2.86

=====

Record 5
Density functional theory data (GGA-PBE) for a relaxed structure of PmMgSn.

Results
Total DFT energy (no corrections) ... -4.000 eV per atom
E above lowest polymorph ... 19 meV/atom
Volume ... 26.93 Å³/atom
Crystal system ... tetragonal
Formation energy from the elements ... -551 meV/atom

a b c (Å): 4.4986 4.4986 7.9839
angles (deg): 90.00 90.00 90.00
Last column: nearest neighbours and their distance in Å.
Sites, in units of the cell vectors:
Mg (0.0000, 0.0000, 0.5000)  4 Sn 3.00, 4 Mg 3.18
Mg (0.5000, 0.5000, 0.5000)  4 Sn 3.00, 4 Mg 3.18
Sn (0.5000, 0.0000, 0.7492)  4 Mg 3.00, 5 Pm 3.21-3.28
Sn (0.0000, 0.5000, 0.2508)  4 Mg 3.00, 5 Pm 3.21-3.28
Pm (0.5000, 0.0000, 0.1517)  5 Sn 3.21-3.28, 4 Mg 3.58
Pm (0.0000, 0.5000, 0.8483)  5 Sn 3.21-3.28, 4 Mg 3.58

=====

Record 6
Density functional theory data (GGA-PBE) for a relaxed structure of Pm4Mg5Sn6.

Results
Total DFT energy (no corrections) ... -3.933 eV per atom
Volume ... 27.39 Å³/atom
Crystal system ... orthorhombic
Formation energy from the elements ... -533 meV/atom

a b c (Å): 4.7166 10.7016 16.6897
angles (deg): 90.00 90.00 102.73
Last column: nearest neighbours and their distance in Å.
Sites, in units of the cell vectors:
Sn (0.5590, 0.1181, 0.3540)  1 Sn 2.88, 2 Mg 2.89-2.90
Sn (0.2274, 0.4548, 0.4771)  4 Mg 2.84-2.91
Sn (0.1105, 0.2210, 0.1172)  4 Mg 2.79-2.95
Sn (0.8895, 0.7790, 0.6172)  4 Mg 2.79-2.95
Sn (0.4291, 0.8583, 0.4127)  1 Sn 2.88, 1 Mg 2.97
Sn (0.4296, 0.8591, 0.1298)  5 Mg 2.85-3.03
Sn (0.2354, 0.4708, 0.7690)  4 Mg 2.84-2.91, 1 Pm 3.18
Sn (0.7726, 0.5452, 0.9771)  4 Mg 2.84-2.91
Sn (0.4410, 0.8819, 0.8540)  1 Sn 2.88, 2 Mg 2.89-2.90
Sn (0.5704, 0.1409, 0.6298)  5 Mg 2.85-3.03
Sn (0.5709, 0.1417, 0.9127)  1 Sn 2.88, 1 Mg 2.97
Sn (0.7646, 0.5292, 0.2690)  4 Mg 2.84-2.91, 1 Pm 3.18
Pm (0.9661, 0.9322, 0.2663)  6 Sn 3.37-3.48, 5 Mg 3.38-3.53
Pm (0.8375, 0.6751, 0.8025)  6 Sn 3.21-3.31
Pm (0.0173, 0.0345, 0.5013)  7 Sn 3.30-3.52, 3 Mg 3.56-3.68
Pm (0.1625, 0.3249, 0.3025)  6 Sn 3.21-3.31
Pm (0.1740, 0.3480, 0.9431)  6 Sn 3.18-3.23
Pm (0.9827, 0.9655, 0.0013)  7 Sn 3.30-3.52, 3 Mg 3.56-3.68
Pm (0.8260, 0.6520, 0.4431)  6 Sn 3.18-3.23
Pm (0.0339, 0.0678, 0.7663)  6 Sn 3.37-3.48, 5 Mg 3.38-3.53
Mg (0.3044, 0.6088, 0.6199)  4 Sn 2.87-2.95, 2 Mg 3.01-3.11
Mg (0.6519, 0.3038, 0.4827)  4 Sn 2.84-2.99
Mg (0.1554, 0.3107, 0.6264)  4 Sn 2.91-2.95, 1 Mg 3.11
Mg (0.6593, 0.3186, 0.7732)  4 Sn 2.84-3.03
Mg (0.3481, 0.6962, 0.9827)  4 Sn 2.84-2.99
Mg (0.6956, 0.3912, 0.1199)  4 Sn 2.87-2.95, 2 Mg 3.01-3.11
Mg (0.5598, 0.1197, 0.1802)  4 Sn 2.79-2.90, 1 Mg 3.01
Mg (0.8446, 0.6893, 0.1264)  4 Sn 2.91-2.95, 1 Mg 3.11
Mg (0.4402, 0.8803, 0.6802)  4 Sn 2.79-2.90, 1 Mg 3.01
Mg (0.3407, 0.6814, 0.2732)  4 Sn 2.84-3.03

=====

Record 7
Density functional theory data (GGA-PBE) for a relaxed structure of PmMgSn4.

Results
Total DFT energy (no corrections) ... -3.981 eV per atom
E above lowest polymorph ... 0 meV/atom
Volume ... 26.69 Å³/atom
Crystal system ... monoclinic
Formation energy from the elements ... -255 meV/atom

a b c (Å): 5.8290 5.8289 9.4252
angles (deg): 90.00 90.04 90.00
Last column: nearest neighbours and their distance in Å.
Sites, in units of the cell vectors:
Sn (0.0009, 0.5000, 0.8395)  5 Sn 3.03-3.28, 1 Pm 3.20, 4 Mg 3.28-3.29
Sn (0.4994, 0.5000, 0.3210)  1 Mg 3.03, 5 Sn 3.28-3.37, 4 Pm 3.37
Sn (0.4991, 0.0000, 0.1605)  5 Sn 3.03-3.28, 1 Pm 3.20, 4 Mg 3.28-3.29
Sn (0.9994, 0.0000, 0.3210)  1 Mg 3.03, 5 Sn 3.28-3.37, 4 Pm 3.37
Sn (0.5006, 0.5000, 0.6790)  1 Mg 3.03, 5 Sn 3.28-3.37, 4 Pm 3.37
Sn (0.5009, 0.0000, 0.8395)  5 Sn 3.03-3.28, 1 Pm 3.20, 4 Mg 3.28-3.29
Sn (0.9991, 0.5000, 0.1605)  5 Sn 3.03-3.28, 1 Pm 3.20, 4 Mg 3.28-3.29
Sn (0.0006, 0.0000, 0.6790)  1 Mg 3.03, 5 Sn 3.28-3.37, 4 Pm 3.37
Mg (0.5000, 0.5000, 0.0000)  10 Sn 3.03-3.29
Mg (0.0000, 0.0000, 0.0000)  10 Sn 3.03-3.29
Pm (0.5000, 0.0000, 0.5000)  10 Sn 3.20-3.37
Pm (0.0000, 0.5000, 0.5000)  10 Sn 3.20-3.37

=====

Record 8
Density functional theory data (GGA-PBE) for a relaxed structure of PmMgSn2.

Results
Total DFT energy (no corrections) ... -3.969 eV per atom
Volume ... 26.94 Å³/atom
Crystal system ... trigonal
Formation energy from the elements ... -382 meV/atom

a b c (Å): 4.8607 4.8607 5.9678
angles (deg): 65.97 65.97 60.00
Last column: nearest neighbours and their distance in Å.
Sites, in units of the cell vectors:
Pm (0.0000, 0.0000, 0.0000)  6 Sn 3.23
Sn (0.7675, 0.7675, 0.6976)  3 Mg 2.99, 3 Pm 3.23
Sn (0.2325, 0.2325, 0.3024)  3 Mg 2.99, 3 Pm 3.23
Mg (0.5000, 0.5000, 0.5000)  6 Sn 2.99

=====

Record 9
Density functional theory data (GGA-PBE) for a relaxed structure of Pm3Mg2Sn6.

Results
Total DFT energy (no corrections) ... -4.164 eV per atom
Volume ... 28.58 Å³/atom
Crystal system ... tetragonal
Formation energy from the elements ... -395 meV/atom

a b c (Å): 4.5918 4.5918 15.2616
angles (deg): 98.65 98.65 90.00
Last column: nearest neighbours and their distance in Å.
Sites, in units of the cell vectors:
Mg (0.6400, 0.6400, 0.2801)  5 Sn 2.79-2.96
Mg (0.3600, 0.3600, 0.7199)  5 Sn 2.79-2.96
Pm (0.0000, 0.0000, 0.0000)  8 Sn 3.26
Pm (0.1616, 0.1616, 0.3231)  5 Sn 3.13-3.40, 4 Mg 3.31
Pm (0.8384, 0.8384, 0.6769)  5 Sn 3.13-3.40, 4 Mg 3.31
Sn (0.5775, 0.0775, 0.1550)  2 Mg 2.96, 4 Sn 3.25, 2 Pm 3.26
Sn (0.2664, 0.2664, 0.5328)  1 Mg 2.79
Sn (0.4225, 0.9225, 0.8450)  2 Mg 2.96, 4 Sn 3.25, 2 Pm 3.26
Sn (0.0775, 0.5775, 0.1550)  2 Mg 2.96, 4 Sn 3.25, 2 Pm 3.26
Sn (0.7336, 0.7336, 0.4672)  1 Mg 2.79
Sn (0.9225, 0.4225, 0.8450)  2 Mg 2.96, 4 Sn 3.25, 2 Pm 3.26

=====

Record 10
Density functional theory data (GGA-PBE) for a relaxed structure of Pm4MgSn5.

Results
Total DFT energy (no corrections) ... -4.586 eV per atom
Volume ... 27.71 Å³/atom
Crystal system ... tetragonal
Formation energy from the elements ... -525 meV/atom

a b c (Å): 4.0625 4.0625 16.7882
angles (deg): 90.00 90.00 90.00
Last column: nearest neighbours and their distance in Å.
Sites, in units of the cell vectors:
Sn (0.5000, 0.5000, 0.5000)  8 Pm 3.34, 2 Sn 3.36
Sn (0.5000, 0.5000, 0.9064)  2 Sn 3.14-3.46, 4 Mg 3.27, 4 Pm 3.34
Sn (0.5000, 0.5000, 0.0936)  2 Sn 3.14-3.46, 4 Mg 3.27, 4 Pm 3.34
Sn (0.5000, 0.5000, 0.2999)  8 Pm 3.31-3.36, 2 Sn 3.36-3.46
Sn (0.5000, 0.5000, 0.7001)  8 Pm 3.31-3.36, 2 Sn 3.36-3.46
Pm (0.0000, 0.0000, 0.3980)  8 Sn 3.31-3.34, 2 Pm 3.40-3.43
Pm (0.0000, 0.0000, 0.6020)  8 Sn 3.31-3.34, 2 Pm 3.40-3.43
Pm (0.0000, 0.0000, 0.1956)  1 Mg 3.28, 8 Sn 3.34-3.36, 1 Pm 3.40
Pm (0.0000, 0.0000, 0.8044)  1 Mg 3.28, 8 Sn 3.34-3.36, 1 Pm 3.40
Mg (0.0000, 0.0000, 0.0000)  8 Sn 3.27, 2 Pm 3.28

=====

Record 11
Density functional theory data (GGA-PBE) for a relaxed structure of PmMgSn.

Results
Total DFT energy (no corrections) ... -3.820 eV per atom
E above lowest polymorph ... 199 meV/atom
Volume ... 30.04 Å³/atom
Crystal system ... cubic
Formation energy from the elements ... -371 meV/atom

a b c (Å): 5.0324 5.0324 5.0324
angles (deg): 60.00 60.00 60.00
Last column: nearest neighbours and their distance in Å.
Sites, in units of the cell vectors:
Sn (0.2500, 0.2500, 0.2500)  4 Mg 3.08, 4 Pm 3.08
Pm (0.0000, 0.0000, 0.0000)  4 Sn 3.08
Mg (0.5000, 0.5000, 0.5000)  4 Sn 3.08

=====

Record 12
Density functional theory data (GGA-PBE) for a relaxed structure of Pm2MgSn.

Results
Total DFT energy (no corrections) ... -4.183 eV per atom
E above lowest polymorph ... 54 meV/atom
Volume ... 28.53 Å³/atom
Crystal system ... tetragonal
Formation energy from the elements ... -409 meV/atom

a b c (Å): 3.9464 3.9464 7.3265
angles (deg): 90.00 90.00 90.00
Last column: nearest neighbours and their distance in Å.
Sites, in units of the cell vectors:
Mg (0.5000, 0.5000, 0.5000)  8 Pm 3.34, 2 Sn 3.66
Sn (0.5000, 0.5000, 0.0000)  8 Pm 3.34, 2 Mg 3.66
Pm (0.0000, 0.0000, 0.7505)  4 Sn 3.34, 4 Mg 3.34, 2 Pm 3.66-3.67
Pm (0.0000, 0.0000, 0.2495)  4 Sn 3.34, 4 Mg 3.34, 2 Pm 3.66-3.67